[1]
Computed, not measured: a relaxed structure of ScHgSbBr2 at the PBE level of DFT.

a b c (Å): 5.090 6.345 5.090
angles (deg): 90.00 90.00 90.00
Fractional coordinates of all 5 atoms:
Br 0.000 0.000 0.500
Hg 0.000 0.500 0.000
Br 0.500 0.000 0.000
Sc 0.000 0.000 0.000
Sb 0.500 0.500 0.500

Size of the total moment   0.8 μB per formula unit

=====

[2]
Computed, not measured: a relaxed structure of LaSbAs2 at the PBE level of DFT.

a b c (Å): 6.461 6.461 8.362
angles (deg): 67.27 67.27 90.00
Fractional coordinates of all 8 atoms:
Sb 0.250 0.750 0.500
La 0.000 0.000 0.000
As 0.875 0.852 0.750
As 0.375 0.398 0.750
As 0.602 0.125 0.250
La 0.750 0.250 0.500
As 0.148 0.625 0.250
Sb 0.500 0.500 0.000

Size of the total moment   0.0 μB per formula unit

=====

[3]
Computed, not measured: a relaxed structure of Na2PuZrN4 at the PBE level of DFT.

a b c (Å): 3.400 5.739 5.989
angles (deg): 108.02 90.00 90.00
Fractional coordinates of all 8 atoms:
N 0.000 0.256 0.813
Zr 0.500 0.500 0.000
N 0.500 0.224 0.191
N 0.000 0.744 0.187
Na 0.000 0.500 0.500
Pu 0.000 0.000 0.000
Na 0.500 0.000 0.500
N 0.500 0.776 0.809

Size of the total moment   2.0 μB per formula unit

=====

[4]
Computed, not measured: a relaxed structure of CdPdN2 at the PBE level of DFT.

a b c (Å): 6.448 6.448 6.448
angles (deg): 28.79 28.79 28.79
Fractional coordinates of all 4 atoms:
N 0.887 0.887 0.887
Pd 0.500 0.500 0.500
N 0.113 0.113 0.113
Cd 0.000 0.000 0.000

Size of the total moment   0.0 μB per formula unit

=====

VASP energy across the listed records, respectively: -3.15 -4.94 -8.23 -4.82 eV/atom.